The following is a DFT calculation (SCAN) of a PBEsol-optimized structure of Li5Mn2Co2P4O16.

abc: 4.768 6.120 10.265
angles: 87.33 88.59 89.03
Element x y z (fractional)
Li (0.000, 0.000, 0.000)
Li (0.001, 0.500, 0.000)
Li (0.391, 0.525, 0.371)
Li (0.500, 0.001, 0.500)
Li (0.609, 0.477, 0.629)
Mn (0.051, 0.217, 0.720)
Mn (0.949, 0.784, 0.281)
Co (0.463, 0.230, 0.207)
Co (0.538, 0.771, 0.794)
P (0.100, 0.739, 0.594)
P (0.417, 0.745, 0.097)
P (0.584, 0.256, 0.903)
P (0.900, 0.262, 0.406)
O (0.210, 0.765, 0.450)
O (0.216, 0.520, 0.654)
O (0.221, 0.245, 0.396)
O (0.245, 0.928, 0.666)
O (0.261, 0.244, 0.905)
O (0.273, 0.947, 0.162)
O (0.293, 0.735, 0.959)
O (0.301, 0.545, 0.182)
O (0.699, 0.455, 0.819)
O (0.708, 0.266, 0.041)
O (0.727, 0.054, 0.839)
O (0.739, 0.757, 0.095)
O (0.755, 0.074, 0.334)
O (0.779, 0.756, 0.604)
O (0.784, 0.482, 0.347)
O (0.790, 0.236, 0.550)

calculated volume = 299.1 Å³/cell
formation energy without anion corrections = -2297 meV/atom
size of the total moment = 4.1 μB/f.u.